## Ba6AuS2I3 (PBE)

Data for a relaxed Ba6AuS2I3 crystal.

The uncorrected formation energy comes out at -1472.3 meV/atom. As for the crystal system: monoclinic.

The structure belongs to space group C2/m (No. 12); the cell edges are 8.208, 14.222 and 8.735 Å and the angles 90.00°, 108.20° and 90.00°. Symmetry generates all atoms from Ba at (0.228, 0.000, 0.206), Ba at (0.239, 0.330, 0.207), Au at (0.000, 0.500, 0.000), S at (0.000, 0.167, 0.000), I at (0.000, 0.000, 0.500) and I at (0.000, 0.334, 0.500).


## La2Mn (PBE)

Data for a relaxed La2Mn crystal.

As for the crystal system: tetragonal. The raw total energy comes out at -6.10 eV/atom.

The structure belongs to space group I4/mmm (No. 139); the cell edges are 3.644, 3.644 and 13.616 Å and the angles 90.00°, 90.00° and 90.00°. Symmetry generates all atoms from La at (0.000, 0.000, 0.133) and Mn at (0.000, 0.000, 0.500).


## Al4Ni (PBE)

Data for a relaxed Al4Ni crystal.

The value obtained for the offset from the most stable computed form is 2.717 eV/f.u. As for the crystal system: tetragonal.

The structure belongs to space group I4/mmm (No. 139); the cell edges are 3.633, 3.633 and 12.879 Å and the angles 90.00°, 90.00° and 90.00°. Symmetry generates all atoms from Al at (0.000, 0.000, 0.096), Al at (0.000, 0.500, 0.250) and Ni at (0.000, 0.000, 0.500).


The evaluated ρ for the records listed, in turn: 5.03 6.11 3.26 g cm⁻³.